A plane-wave DFT calculation with meta-GGA SCAN was carried out for Be2SiCl at its PBEsol-relaxed geometry.

```
data_Be2SiCl
_symmetry_space_group_name_H-M 'I -4 2 d'
_symmetry_Int_Tables_number 122
_symmetry_space_group_name_Hall 'I -4 2bw'
_cell_length_a 5.1538
_cell_length_b 5.1538
_cell_length_c 9.8407
_cell_angle_alpha 90.00
_cell_angle_beta 90.00
_cell_angle_gamma 90.00
loop_
_atom_site_label
_atom_site_type_symbol
_atom_site_fract_x
_atom_site_fract_y
_atom_site_fract_z
Be1 Be 0.2465 0.2500 0.1250
Si1 Si 0.0000 0.0000 0.5000
Cl1 Cl 0.0000 0.0000 0.0000
```

Output
Its density of states at the Fermi level is 0.2444 states/eV/atom. Its uncorrected formation energy is 0.141 eV per atom. The mass density comes out at 2.07 g cm⁻³.